[1]
# TlPb2Cl

A relaxed TlPb2Cl crystal (PBE-GGA, Alexandria).

Properties
Space group   I-42d, No. 122
Raw total energy   -3.13 eV per atom

Cell lengths 12.5574, 12.5574, 12.5574 Å; angles 158.91, 158.91, 30.00 degrees
Element x y z (fractional)
Tl: 0.0000 0.0000 0.0000
Tl: 0.7500 0.2500 0.5000
Pb: 0.1221 0.6250 0.9971
Pb: 0.3750 0.3721 0.4971
Pb: 0.6279 0.1250 0.0029
Pb: 0.8750 0.8779 0.5029
Cl: 0.2500 0.7500 0.5000
Cl: 0.5000 0.5000 0.0000

***

[2]
# TlPb2Cl

A relaxed TlPb2Cl crystal (PBE-GGA, Alexandria).

Properties
Space group   I-4m2, No. 119
Raw total energy   -3.12 eV per atom

Cell lengths 5.4860, 5.4860, 5.4860 Å; angles 120.18, 120.18, 89.69 degrees
Element x y z (fractional)
Tl: 0.0000 0.0000 0.0000
Pb: 0.5000 0.5000 0.0000
Pb: 0.7500 0.2500 0.5000
Cl: 0.2500 0.7500 0.5000

***

[3]
# Tl3PbCl6

A relaxed Tl3PbCl6 crystal (PBE-GGA, Alexandria).

Properties
Space group   R3, No. 146
Raw total energy   -3.15 eV per atom

Cell lengths 8.3362, 8.3362, 8.3362 Å; angles 54.06, 54.06, 54.06 degrees
Element x y z (fractional)
Tl: 0.0000 0.0000 0.0000
Tl: 0.1987 0.1987 0.1987
Tl: 0.4877 0.4877 0.4877
Pb: 0.6855 0.6855 0.6855
Cl: 0.0683 0.3961 0.7936
Cl: 0.2824 0.8749 0.6347
Cl: 0.3961 0.7936 0.0683
Cl: 0.6347 0.2824 0.8749
Cl: 0.7936 0.0683 0.3961
Cl: 0.8749 0.6347 0.2824

***

Calculated volume (computed, Å³ per cell): 256; 116; 353
Raw formation energy (computed, eV/atom): -0.225; -0.213; -0.959
Offset from the most stable computed form (computed, kcal/mol of atoms): 2.58; 2.87; 0.23